! Sr2TmCo2O6 GGA+U optimized geometry; values from VASP
&SYSTEM
  ibrav = 0, nat = 11, ntyp = 4
/
ATOMIC_SPECIES
Sr 87.62 Sr.upf
Tm 168.93 Tm.upf
Co 58.93 Co.upf
O 16.00 O.upf
ATOMIC_POSITIONS angstrom
Sr 1.493 -10.130 -3.686
Sr 0.832 -3.918 -0.511
Tm 0.000 0.000 0.000
Co 1.539 -7.634 -1.290
Co 0.785 -6.415 -2.907
O 0.751 -7.703 -4.181
O 2.136 -5.207 -2.943
O -0.779 -5.931 -2.131
O 3.104 -8.117 -2.065
O 0.189 -8.842 -1.254
O 1.573 -6.346 -0.016
CELL_PARAMETERS angstrom
-2.649 -4.777 -2.368
2.929 -3.390 -3.921
2.045 -5.881 2.092
! - total DFT energy (no corrections) (eV per atom) = -6.43
! - calculated volume (Å³/atom) = 15.6
! - M_tot (μB per formula unit) = 7.00